(1)
{
  "formula": "Pr2SmAs3Pt4",
  "functional": "PBE",
  "state": "relaxed",
  "lattice_angstrom": [[4.342, 0.000, 0.000], [0.000, 4.342, 0.000], [0.000, 0.000, 11.395]],
  "species": ["Pr", "Pr", "Sm", "As", "As", "As", "Pt", "Pt", "Pt", "Pt"],
  "frac_coords": [[0.500, 0.000, 0.213], [0.000, 0.500, 0.787], [0.500, 0.500, 0.500], [0.000, 0.000, 0.500], [0.500, 0.000, 0.875], [0.000, 0.500, 0.125], [0.500, 0.500, 0.000], [0.000, 0.000, 0.000], [0.500, 0.000, 0.660], [0.000, 0.500, 0.340]],
  "total_energy_ev_per_atom": -6.18,
  "formation_energy_ev_per_atom": -0.938
}

=====

(2)
{
  "formula": "Pr3SnAs2Pt9",
  "functional": "PBE",
  "state": "relaxed",
  "lattice_angstrom": [[-1.228, -4.135, -4.944], [5.587, -0.520, 3.400], [-4.194, -5.914, 5.988]],
  "species": ["Pr", "Pr", "Pr", "Sn", "As", "As", "Pt", "Pt", "Pt", "Pt", "Pt", "Pt", "Pt", "Pt", "Pt"],
  "frac_coords": [[0.333, 0.667, 0.737], [0.000, 0.000, 0.000], [0.667, 0.333, 0.263], [0.000, 0.000, 0.500], [0.333, 0.667, 0.180], [0.667, 0.333, 0.820], [0.859, 0.141, 0.727], [0.859, 0.719, 0.727], [0.281, 0.141, 0.727], [0.719, 0.859, 0.273], [0.141, 0.281, 0.273], [0.141, 0.859, 0.273], [0.500, 0.000, 0.000], [0.000, 0.500, 0.000], [0.500, 0.500, 0.000]],
  "total_energy_ev_per_atom": -6.03,
  "formation_energy_ev_per_atom": -0.567
}

=====

(3)
{
  "formula": "Sr2PrAs3Pt4",
  "functional": "PBE",
  "state": "relaxed",
  "lattice_angstrom": [[-2.777, -3.103, -1.498], [-1.347, -0.793, 4.140], [-8.209, 7.905, -1.157]],
  "species": ["Sr", "Sr", "Pr", "As", "As", "As", "Pt", "Pt", "Pt", "Pt"],
  "frac_coords": [[0.500, 0.000, 0.221], [0.000, 0.500, 0.779], [0.500, 0.500, 0.500], [0.000, 0.000, 0.500], [0.500, 0.000, 0.883], [0.000, 0.500, 0.117], [0.500, 0.500, 0.000], [0.000, 0.000, 0.000], [0.500, 0.000, 0.667], [0.000, 0.500, 0.333]],
  "total_energy_ev_per_atom": -5.46,
  "formation_energy_ev_per_atom": -0.831
}

=====

(4)
{
  "formula": "TbPr2As3Pt4",
  "functional": "PBE",
  "state": "relaxed",
  "lattice_angstrom": [[4.324, 0.000, 0.000], [0.000, 4.324, 0.000], [0.000, 0.000, 11.343]],
  "species": ["Tb", "Pr", "Pr", "As", "As", "As", "Pt", "Pt", "Pt", "Pt"],
  "frac_coords": [[0.500, 0.500, 0.500], [0.500, 0.000, 0.215], [0.000, 0.500, 0.785], [0.000, 0.000, 0.500], [0.500, 0.000, 0.873], [0.000, 0.500, 0.127], [0.500, 0.500, 0.000], [0.000, 0.000, 0.000], [0.500, 0.000, 0.656], [0.000, 0.500, 0.344]],
  "total_energy_ev_per_atom": -6.19,
  "formation_energy_ev_per_atom": -0.960
}

=====

(5)
{
  "formula": "Pr8Te4As3Pt",
  "functional": "PBE",
  "state": "relaxed",
  "lattice_angstrom": [[8.780, 0.000, 0.000], [0.000, 8.921, 0.092], [-4.390, -4.386, 6.212]],
  "species": ["Pr", "Pr", "Pr", "Pr", "Pr", "Pr", "Pr", "Pr", "Te", "Te", "Te", "Te", "As", "As", "As", "Pt"],
  "frac_coords": [[0.239, 0.722, 0.983], [0.239, 0.722, 0.478], [0.259, 0.278, 0.519], [0.744, 0.722, 0.983], [0.256, 0.278, 0.017], [0.741, 0.722, 0.481], [0.761, 0.278, 0.522], [0.761, 0.278, 0.017], [0.500, 0.000, 0.000], [0.500, 0.000, 0.500], [0.000, 0.000, 0.000], [0.000, 0.000, 0.500], [0.500, 0.500, 0.000], [0.500, 0.500, 0.500], [0.000, 0.500, 0.500], [0.000, 0.500, 0.000]],
  "formation_energy_uncorrected_ev_per_atom": -1.45,
  "total_energy_ev_per_atom": -5.88
}

=====

(6)
{
  "formula": "Pr4Te2AsPt",
  "functional": "PBE",
  "state": "relaxed",
  "lattice_angstrom": [[-1.167, 4.121, 0.626], [-7.296, -2.202, 0.893], [3.527, -0.057, 6.952]],
  "species": ["Pr", "Pr", "Pr", "Pr", "Te", "Te", "As", "Pt"],
  "frac_coords": [[0.500, 0.233, 0.216], [0.500, 0.767, 0.784], [0.000, 0.261, 0.775], [0.000, 0.739, 0.225], [0.500, 0.000, 0.500], [0.000, 0.500, 0.500], [0.500, 0.500, 0.000], [0.000, 0.000, 0.000]],
  "formation_energy_uncorrected_ev_per_atom": -1.37,
  "total_energy_ev_per_atom": -5.88
}

=====

(7)
{
  "formula": "Pr5Pu3As8",
  "functional": "PBE",
  "state": "relaxed",
  "lattice_angstrom": [[7.368, 0.000, 4.220], [2.475, 6.940, 4.220], [0.036, 0.025, 8.479]],
  "species": ["Pr", "Pr", "Pr", "Pr", "Pr", "Pu", "Pu", "Pu", "As", "As", "As", "As", "As", "As", "As", "As"],
  "frac_coords": [[0.500, 0.000, 0.000], [0.500, 0.500, 0.000], [0.000, 0.000, 0.000], [0.000, 0.500, 0.000], [0.500, 0.500, 0.500], [0.500, 0.000, 0.500], [0.000, 0.000, 0.500], [0.000, 0.500, 0.500], [0.250, 0.250, 0.740], [0.250, 0.760, 0.740], [0.760, 0.250, 0.740], [0.755, 0.755, 0.736], [0.750, 0.750, 0.260], [0.750, 0.240, 0.260], [0.240, 0.750, 0.260], [0.245, 0.245, 0.264]],
  "total_energy_ev_per_atom": -7.81,
  "formation_energy_ev_per_atom": -1.308
}

=====

(8)
{
  "formula": "Pr2PuAs",
  "functional": "PBE",
  "state": "relaxed",
  "lattice_angstrom": [[-1.450, -3.393, 1.554], [-1.721, -2.718, -2.383], [7.275, -6.185, -1.562]],
  "species": ["Pr", "Pr", "As", "Pu"],
  "frac_coords": [[0.269, 0.269, 0.193], [0.731, 0.731, 0.807], [0.000, 0.000, 0.000], [0.500, 0.500, 0.500]],
  "total_energy_ev_per_atom": -7.58,
  "formation_energy_ev_per_atom": -0.447
}